# 1
VASP calculation (PBE) on NdSmTe after structural relaxation.

Output
polymorph energy (0 for the lowest one)	0	meV per atom
energy relative to the elements, uncorrected	-874	meV per atom

The structure in CIF format:
```
data_NdSmTe
_chemical_formula_sum 'Nd4 Sm4 Te4'
_cell_length_a 11.8580
_cell_length_b 4.0610
_cell_length_c 8.8341
_cell_angle_alpha 90.00
_cell_angle_beta 117.39
_cell_angle_gamma 90.00
_symmetry_space_group_name_H-M 'C 1 2/m 1'
_symmetry_Int_Tables_number 12
_symmetry_space_group_name_Hall '-C 2y'
loop_
_atom_site_label
_atom_site_fract_x
_atom_site_fract_y
_atom_site_fract_z
Nd1 0.1501 0.0000 0.0467
Sm1 0.0620 0.5000 0.3425
Te1 0.1642 0.0000 0.6683
```


# 2
VASP calculation (PBE) on KNiP after structural relaxation.

Output
formation enthalpy at 0 K	1.4191	eV/atom

The structure in CIF format:
```
data_KNiP
_chemical_formula_sum 'K4 Ni4 P4'
_cell_length_a 6.7461
_cell_length_b 6.7461
_cell_length_c 6.7461
_cell_angle_alpha 90.00
_cell_angle_beta 90.00
_cell_angle_gamma 90.00
_symmetry_space_group_name_H-M 'F -4 3 m'
_symmetry_Int_Tables_number 216
_symmetry_space_group_name_Hall 'F -4 2 3'
loop_
_atom_site_label
_atom_site_fract_x
_atom_site_fract_y
_atom_site_fract_z
K1 0.0000 0.0000 0.0000
Ni1 0.2500 0.2500 0.2500
P1 0.2500 0.2500 0.7500
```


# 3
VASP calculation (PBE) on TlAgI2 after structural relaxation.

Output
polymorph energy (0 for the lowest one)	239	meV per atom
energy relative to the elements, uncorrected	-207	meV per atom

The structure in CIF format:
```
data_TlAgI2
_chemical_formula_sum 'Tl4 Ag4 I8'
_cell_length_a 8.0773
_cell_length_b 8.0773
_cell_length_c 8.0773
_cell_angle_alpha 90.00
_cell_angle_beta 90.00
_cell_angle_gamma 90.00
_symmetry_space_group_name_H-M 'F m -3 m'
_symmetry_Int_Tables_number 225
_symmetry_space_group_name_Hall '-F 4 2 3'
loop_
_atom_site_label
_atom_site_fract_x
_atom_site_fract_y
_atom_site_fract_z
Tl1 0.0000 0.0000 0.0000
Ag1 0.0000 0.0000 0.5000
I1 0.2500 0.2500 0.2500
```


# 4
VASP calculation (PBE) on Ag4BiCl7 after structural relaxation.

Output
energy relative to the elements, uncorrected	-574	meV per atom

The structure in CIF format:
```
data_Ag4BiCl7
_chemical_formula_sum 'Ag4 Bi1 Cl7'
_cell_length_a 5.3537
_cell_length_b 7.1389
_cell_length_c 9.5332
_cell_angle_alpha 94.36
_cell_angle_beta 90.12
_cell_angle_gamma 111.98
_symmetry_space_group_name_H-M 'P -1'
_symmetry_Int_Tables_number 2
_symmetry_space_group_name_Hall '-P 1'
loop_
_atom_site_label
_atom_site_fract_x
_atom_site_fract_y
_atom_site_fract_z
Ag1 0.0442 0.0921 0.1587
Ag2 0.2707 0.5367 0.1501
Bi1 0.5000 0.0000 0.5000
Cl1 0.0000 0.0000 0.5000
Cl2 0.1549 0.3093 0.9261
Cl3 0.3018 0.6046 0.4038
Cl4 0.4481 0.8946 0.7742
```


# 5
VASP calculation (PBE) on KFe2Te after structural relaxation.

Output
energy relative to the elements, uncorrected	477	meV per atom

The structure in CIF format:
```
data_KFe2Te
_chemical_formula_sum 'K4 Fe8 Te4'
_cell_length_a 4.9102
_cell_length_b 4.9102
_cell_length_c 18.0747
_cell_angle_alpha 90.00
_cell_angle_beta 90.00
_cell_angle_gamma 90.00
_symmetry_space_group_name_H-M 'I 41/a m d'
_symmetry_Int_Tables_number 141
loop_
_symmetry_equiv_pos_as_xyz
'x,y,z'
'-x,-y,-z'
'-y+1/4,x+3/4,z+1/4'
'y+1/4,-x+3/4,-z+1/4'
'-x+1/2,-y,z+1/2'
'x+1/2,y,-z+1/2'
'y+1/4,-x+1/4,z+3/4'
'-y+1/4,x+1/4,-z+3/4'
'x,-y,-z'
'-x,y,z'
'-y+1/4,-x+1/4,-z+3/4'
'y+1/4,x+1/4,z+3/4'
'-x+1/2,y,-z+1/2'
'x+1/2,-y,z+1/2'
'y+1/4,x+3/4,-z+1/4'
'-y+1/4,-x+3/4,z+1/4'
'x+1/2,y+1/2,z+1/2'
'-x+1/2,-y+1/2,-z+1/2'
'-y+3/4,x+1/4,z+3/4'
'y+3/4,-x+1/4,-z+3/4'
'-x,-y+1/2,z'
'x,y+1/2,-z'
'y+3/4,-x+3/4,z+1/4'
'-y+3/4,x+3/4,-z+1/4'
'x+1/2,-y+1/2,-z+1/2'
'-x+1/2,y+1/2,z+1/2'
'-y+3/4,-x+3/4,-z+1/4'
'y+3/4,x+3/4,z+1/4'
'-x,y+1/2,-z'
'x,-y+1/2,z'
'y+3/4,x+1/4,-z+3/4'
'-y+3/4,-x+1/4,z+3/4'
loop_
_atom_site_label
_atom_site_fract_x
_atom_site_fract_y
_atom_site_fract_z
K1 0.0000 0.2500 0.3750
Fe1 0.0000 0.0000 0.0000
Te1 0.0000 0.2500 0.8750
```


# 6
VASP calculation (PBE) on Cs2TlHgBr5 after structural relaxation.

Output
energy relative to the elements, uncorrected	-1111	meV per atom

The structure in CIF format:
```
data_Cs2TlHgBr5
_chemical_formula_sum 'Cs2 Tl1 Hg1 Br5'
_cell_length_a 5.5647
_cell_length_b 5.5647
_cell_length_c 12.2769
_cell_angle_alpha 90.00
_cell_angle_beta 90.00
_cell_angle_gamma 90.00
_symmetry_space_group_name_H-M 'P 4/m m m'
_symmetry_Int_Tables_number 123
_symmetry_space_group_name_Hall '-P 4 2'
loop_
_atom_site_label
_atom_site_fract_x
_atom_site_fract_y
_atom_site_fract_z
Cs1 0.0000 0.0000 0.2119
Tl1 0.5000 0.5000 0.5000
Hg1 0.5000 0.5000 0.0000
Br1 0.0000 0.0000 0.5000
Br2 0.0000 0.5000 0.0000
Br3 0.5000 0.5000 0.2364
```


# 7
VASP calculation (PBE) on Ce3Hg2Au after structural relaxation.

Output
formation enthalpy at 0 K	-0.3895	eV/atom

The structure in CIF format:
```
data_Ce3Hg2Au
_chemical_formula_sum 'Ce3 Hg2 Au1'
_cell_length_a 3.8583
_cell_length_b 3.8583
_cell_length_c 10.8390
_cell_angle_alpha 90.00
_cell_angle_beta 90.00
_cell_angle_gamma 90.00
_symmetry_space_group_name_H-M 'P 4/m m m'
_symmetry_Int_Tables_number 123
_symmetry_space_group_name_Hall '-P 4 2'
loop_
_atom_site_label
_atom_site_fract_x
_atom_site_fract_y
_atom_site_fract_z
Ce1 0.0000 0.0000 0.0000
Ce2 0.0000 0.0000 0.3485
Hg1 0.5000 0.5000 0.1715
Au1 0.5000 0.5000 0.5000
```


# 8
VASP calculation (PBE) on Ce8Pu2Ga3 after structural relaxation.

Output
formation enthalpy at 0 K	0.0104	eV/atom

The structure in CIF format:
```
data_Ce8Pu2Ga3
_chemical_formula_sum 'Ce24 Pu6 Ga9'
_cell_length_a 6.3587
_cell_length_b 6.3587
_cell_length_c 29.3856
_cell_angle_alpha 90.00
_cell_angle_beta 90.00
_cell_angle_gamma 120.00
_symmetry_space_group_name_H-M 'R -3 m'
_symmetry_Int_Tables_number 166
_symmetry_space_group_name_Hall '-R 3 2"'
loop_
_atom_site_label
_atom_site_fract_x
_atom_site_fract_y
_atom_site_fract_z
Ce1 0.0000 0.0000 0.2042
Ce2 0.0140 0.5070 0.2752
Pu1 0.0000 0.0000 0.1160
Ga1 0.0000 0.0000 0.3053
Ga2 0.0000 0.0000 0.5000
```


# 9
VASP calculation (PBE) on TaRuAu2 after structural relaxation.

Output
formation enthalpy at 0 K	0.0410	eV/atom
polymorph energy (0 for the lowest one)	118	meV per atom

The structure in CIF format:
```
data_TaRuAu2
_chemical_formula_sum 'Ta1 Ru1 Au2'
_cell_length_a 3.9411
_cell_length_b 3.9411
_cell_length_c 4.2878
_cell_angle_alpha 90.00
_cell_angle_beta 90.00
_cell_angle_gamma 90.00
_symmetry_space_group_name_H-M 'P 4/m m m'
_symmetry_Int_Tables_number 123
_symmetry_space_group_name_Hall '-P 4 2'
loop_
_atom_site_label
_atom_site_fract_x
_atom_site_fract_y
_atom_site_fract_z
Ta1 0.0000 0.0000 0.0000
Ru1 0.5000 0.5000 0.0000
Au1 0.0000 0.5000 0.5000
```


# 10
VASP calculation (PBE) on AlTl2I6 after structural relaxation.

Output
energy relative to the elements, uncorrected	-488	meV per atom

The structure in CIF format:
```
data_AlTl2I6
_chemical_formula_sum 'Al2 Tl4 I12'
_cell_length_a 14.7445
_cell_length_b 7.1726
_cell_length_c 8.9940
_cell_angle_alpha 90.00
_cell_angle_beta 127.43
_cell_angle_gamma 90.00
_symmetry_space_group_name_H-M 'C 1 2/m 1'
_symmetry_Int_Tables_number 12
_symmetry_space_group_name_Hall '-C 2y'
loop_
_atom_site_label
_atom_site_fract_x
_atom_site_fract_y
_atom_site_fract_z
Al1 0.0000 0.0000 0.0000
Tl1 0.2155 0.5000 0.2799
I1 0.0344 0.2527 0.8084
I2 0.2362 0.0000 0.2945
```


# 11
VASP calculation (PBE) on HoTl3Sb2Se6 after structural relaxation.

Output
energy relative to the elements, uncorrected	-698	meV per atom

The structure in CIF format:
```
data_HoTl3Sb2Se6
_chemical_formula_sum 'Ho2 Tl6 Sb4 Se12'
_cell_length_a 7.2995
_cell_length_b 12.6431
_cell_length_c 8.0332
_cell_angle_alpha 90.00
_cell_angle_beta 107.62
_cell_angle_gamma 90.00
_symmetry_space_group_name_H-M 'C 1 2/m 1'
_symmetry_Int_Tables_number 12
_symmetry_space_group_name_Hall '-C 2y'
loop_
_atom_site_label
_atom_site_fract_x
_atom_site_fract_y
_atom_site_fract_z
Ho1 0.0000 0.0000 0.0000
Tl1 0.0000 0.1660 0.5000
Tl2 0.0000 0.5000 0.5000
Sb1 0.0000 0.3336 0.0000
Se1 0.2343 0.1653 0.2070
Se2 0.2377 0.5000 0.2055
```


# 12
VASP calculation (PBE) on BaHf3Au4O12 after structural relaxation.

Output
energy relative to the elements, uncorrected	-1646	meV per atom

The structure in CIF format:
```
data_BaHf3Au4O12
_chemical_formula_sum 'Ba3 Hf9 Au12 O36'
_cell_length_a 11.6999
_cell_length_b 11.6999
_cell_length_c 8.2368
_cell_angle_alpha 90.00
_cell_angle_beta 90.00
_cell_angle_gamma 120.00
_symmetry_space_group_name_H-M 'R 3 2'
_symmetry_Int_Tables_number 155
_symmetry_space_group_name_Hall 'R 3 2"'
loop_
_atom_site_label
_atom_site_fract_x
_atom_site_fract_y
_atom_site_fract_z
Ba1 0.0000 0.0000 0.0000
Hf1 0.0000 0.5767 0.0000
Au1 0.0000 0.0000 0.5000
Au2 0.0000 0.3680 0.5000
O1 0.0000 0.6101 0.5000
O2 0.0000 0.8258 0.5000
O3 0.0632 0.2056 0.2153
```


Number 1: V 377.7 Å³ per cell. Number 2: V 307.0 Å³ per cell. Number 3: V 527.0 Å³ per cell. Number 4: V 336.7 Å³ per cell. Number 5: V 435.8 Å³ per cell. Number 6: V 380.2 Å³ per cell. Number 7: V 161.4 Å³ per cell. Number 8: V 1029.0 Å³ per cell. Number 9: V 66.6 Å³ per cell. Number 10: V 755.3 Å³ per cell. Number 11: V 706.6 Å³ per cell. Number 12: V 976.5 Å³ per cell.